(1)
The following is a PBE calculation of a relaxed AsOs2Pb crystal, from Alexandria via LeMat-Bulk.

Unit cell a=3.061 b=3.061 c=8.962 alpha=90.00 beta=90.00 gamma=120.04
Fractional coordinates of all 4 atoms:
As1 0.500 0.500 0.750
Os1 0.000 0.000 0.541
Os2 0.000 0.000 0.959
Pb1 0.500 0.500 0.250

Properties
- Relative energy among the computed polymorphs: 571 meV/atom
- Symmetry: No. 65
- E_form: 0.9709 eV/atom
- D(E_F): 3.57 states/eV per cell
- Crystal system: orthorhombic
- V: 72.7 Å³ per cell

***

(2)
The following is a PBE calculation of a relaxed NbZn2Cu crystal, from Alexandria via LeMat-Bulk.

Unit cell a=2.792 b=2.792 c=9.143 alpha=81.22 beta=81.22 gamma=60.00
Fractional coordinates of all 4 atoms:
Cu1 0.667 0.667 0.000
Zn1 0.076 0.076 0.771
Nb1 0.500 0.500 0.499
Zn2 0.257 0.257 0.230

Properties
- Relative energy among the computed polymorphs: 151 meV/atom
- Symmetry: No. 160
- E_form: 0.0550 eV/atom
- D(E_F): 2.19 states/eV per cell
- Crystal system: trigonal
- V: 60.8 Å³ per cell

***

(3)
The following is a PBE calculation of a relaxed LaDyCu2Se4 crystal, from Alexandria via LeMat-Bulk.

Unit cell a=6.817 b=6.348 c=6.348 alpha=68.19 beta=57.53 gamma=57.53
Fractional coordinates of all 8 atoms:
Cu1 0.158 0.342 0.342
La1 0.000 0.000 0.000
Se1 0.454 0.083 0.518
Se2 0.944 0.518 0.083
Dy1 0.500 0.500 0.500
Se3 0.546 0.482 0.917
Se4 0.056 0.917 0.482
Cu2 0.842 0.658 0.658

Properties
- E_form (uncorrected): -1.12 eV/atom
- Symmetry: No. 23
- D(E_F): 0.68 states/eV per cell
- Crystal system: orthorhombic
- V: 194.1 Å³ per cell